1.
Material: SrTc5
Method: DFT, PBE-GGA
State: optimized geometry

Computed properties:
Excess energy over the best structure of this formula in the dataset (kcal/mol of atoms): 0.00
Calculated formation energy (eV/atom): 0.48

Lattice parameters (Å, degrees): 4.248 2.844 18.128 90.00 90.00 90.00
Space group Amm2 (No. 38)
Symmetry-distinct sites (fractional):
Sr1 0.000 0.000 0.000
Tc1 0.000 0.000 0.321
Tc2 0.000 0.000 0.689
Tc3 0.500 0.000 0.238
Tc4 0.500 0.000 0.610
Tc5 0.500 0.000 0.865

---

2.
Material: Sr5Tc
Method: DFT, PBE-GGA
State: optimized geometry

Computed properties:
Excess energy over the best structure of this formula in the dataset (kcal/mol of atoms): 3.10
Calculated formation energy (eV/atom): 0.55

Lattice parameters (Å, degrees): 6.208 4.038 20.361 90.00 90.00 90.00
Space group Amm2 (No. 38)
Symmetry-distinct sites (fractional):
Sr1 0.000 0.000 0.000
Sr2 0.000 0.000 0.257
Sr3 0.500 0.000 0.091
Sr4 0.500 0.000 0.407
Sr5 0.500 0.000 0.735
Tc1 0.000 0.000 0.632

---

3.
Material: SrTc2Te
Method: DFT, PBE-GGA
State: optimized geometry

Computed properties:
Uncorrected formation energy (eV per atom): 0.397

Lattice parameters (Å, degrees): 4.007 5.765 8.322 90.00 90.00 90.00
Space group Imm2 (No. 44)
Symmetry-distinct sites (fractional):
Sr1 0.000 0.000 0.000
Tc1 0.000 0.000 0.472
Tc2 0.000 0.500 0.818
Te1 0.000 0.500 0.201

---

4.
Material: SrTcTe2
Method: DFT, PBE-GGA
State: optimized geometry

Computed properties:
Uncorrected formation energy (eV per atom): -0.066
Excess energy over the best structure of this formula in the dataset (kcal/mol of atoms): 10.01

Lattice parameters (Å, degrees): 3.9718 3.9718 29.0001 90.00 90.00 120.00
Space group R-3m (No. 166, hexagonal axes)
Symmetry-distinct sites (fractional):
Sr1 0.0000 0.0000 0.0000
Tc1 0.0000 0.0000 0.5000
Te1 0.0000 0.0000 0.1140

---

5.
Material: SrTcTe2
Method: DFT, PBE-GGA
State: optimized geometry

Computed properties:
Uncorrected formation energy (eV per atom): -0.175
Excess energy over the best structure of this formula in the dataset (kcal/mol of atoms): 7.48

Lattice parameters (Å, degrees): 4.413 4.413 6.358 90.00 90.00 90.00
Space group P4mm (No. 99)
Symmetry-distinct sites (fractional):
Sr1 0.000 0.000 0.000
Tc1 0.500 0.500 0.506
Te1 0.000 0.000 0.497
Te2 0.500 0.500 0.963

---

6.
Material: SrTcTe2
Method: DFT, PBE-GGA
State: optimized geometry

Computed properties:
Uncorrected formation energy (eV per atom): 0.072
Excess energy over the best structure of this formula in the dataset (kcal/mol of atoms): 13.19

Lattice parameters (Å, degrees): 3.8074 3.8074 28.2107 90.00 90.00 120.00
Space group R3m (No. 160, hexagonal axes)
Symmetry-distinct sites (fractional):
Sr1 0.0000 0.0000 0.0000
Tc1 0.0000 0.0000 0.7537
Te1 0.0000 0.0000 0.2456
Te2 0.0000 0.0000 0.4688

---

7.
Material: SrTc2Te2
Method: DFT, PBE-GGA
State: optimized geometry

Computed properties:
Uncorrected formation energy (eV per atom): -0.156

Lattice parameters (Å, degrees): 4.984 4.984 9.454 90.00 90.00 90.00
Space group I4/mmm (No. 139)
Symmetry-distinct sites (fractional):
Sr1 0.000 0.000 0.000
Tc1 0.000 0.000 0.378
Te1 0.000 0.500 0.250

---

8.
Material: SrTc2Te
Method: DFT, PBE-GGA
State: optimized geometry

Computed properties:
Uncorrected formation energy (eV per atom): 0.236

Lattice parameters (Å, degrees): 3.251 3.251 8.241 90.00 90.00 90.00
Space group P4mm (No. 99)
Symmetry-distinct sites (fractional):
Sr1 0.000 0.000 0.000
Tc1 0.000 0.000 0.435
Tc2 0.500 0.500 0.283
Te1 0.500 0.500 0.671

---

9.
Material: SrTcTe2
Method: DFT, PBE-GGA
State: optimized geometry

Computed properties:
Uncorrected formation energy (eV per atom): -0.111
Excess energy over the best structure of this formula in the dataset (kcal/mol of atoms): 8.97

Lattice parameters (Å, degrees): 3.537 3.537 7.841 90.00 90.00 90.00
Space group P4/mmm (No. 123)
Symmetry-distinct sites (fractional):
Sr1 0.000 0.000 0.000
Tc1 0.000 0.000 0.500
Te1 0.500 0.500 0.297

---

10.
Material: SrTcTe
Method: DFT, PBE-GGA
State: optimized geometry

Computed properties:
Uncorrected formation energy (eV per atom): -0.059
Excess energy over the best structure of this formula in the dataset (kcal/mol of atoms): 5.81

Lattice parameters (Å, degrees): 3.504 3.504 12.020 90.00 90.00 90.00
Space group I4mm (No. 107)
Symmetry-distinct sites (fractional):
Sr1 0.000 0.000 0.000
Tc1 0.000 0.000 0.692
Te1 0.000 0.000 0.287

---

11.
Material: SrTcTe4
Method: DFT, PBE-GGA
State: optimized geometry

Computed properties:
Uncorrected formation energy (eV per atom): 0.523

Lattice parameters (Å, degrees): 9.070 9.070 9.070 90.00 90.00 90.00
Space group F-43m (No. 216)
Symmetry-distinct sites (fractional):
Sr1 0.000 0.000 0.000
Tc1 0.250 0.250 0.750
Te1 0.124 0.124 0.376

---

12.
Material: SrTcTe2
Method: DFT, PBE-GGA
State: optimized geometry

Computed properties:
Uncorrected formation energy (eV per atom): -0.218
Excess energy over the best structure of this formula in the dataset (kcal/mol of atoms): 6.49

Lattice parameters (Å, degrees): 11.982 3.843 5.777 90.00 94.64 90.00
Space group Cm (No. 8)
Symmetry-distinct sites (fractional):
Sr1 0.000 0.000 0.000
Tc1 0.351 0.500 0.434
Te1 0.011 0.500 0.530
Te2 0.274 0.000 0.124

---

13.
Material: SrTc2Te
Method: DFT, PBE-GGA
State: optimized geometry

Computed properties:
Uncorrected formation energy (eV per atom): 0.568

Lattice parameters (Å, degrees): 3.126 5.209 5.505 90.00 90.00 90.00
Space group Pmmm (No. 47)
Symmetry-distinct sites (fractional):
Sr1 0.000 0.000 0.000
Tc1 0.500 0.500 0.295
Te1 0.500 0.000 0.500

---

14.
Material: Sr2Tc2Te
Method: DFT, PBE-GGA
State: optimized geometry

Computed properties:
Uncorrected formation energy (eV per atom): 0.585
Excess energy over the best structure of this formula in the dataset (kcal/mol of atoms): 15.76

Lattice parameters (Å, degrees): 8.800 8.800 4.263 90.00 90.00 90.00
Space group P4/mbm (No. 127)
Symmetry-distinct sites (fractional):
Sr1 0.181 0.319 0.000
Tc1 0.084 0.584 0.500
Te1 0.000 0.000 0.000

---

15.
Material: SrTc2Te
Method: DFT, PBE-GGA
State: optimized geometry

Computed properties:
Uncorrected formation energy (eV per atom): 0.397

Lattice parameters (Å, degrees): 4.689 4.689 19.234 90.00 90.00 90.00
Space group I-42d (No. 122)
Symmetry-distinct sites (fractional):
Sr1 0.000 0.000 0.000
Tc1 0.062 0.250 0.625
Te1 0.000 0.000 0.500

---

16.
Material: Sr2Tc2Te
Method: DFT, PBE-GGA
State: optimized geometry

Computed properties:
Uncorrected formation energy (eV per atom): -0.098
Excess energy over the best structure of this formula in the dataset (kcal/mol of atoms): 0.00

Lattice parameters (Å, degrees): 3.681 3.681 19.495 90.00 90.00 90.00
Space group I4/mmm (No. 139)
Symmetry-distinct sites (fractional):
Sr1 0.000 0.000 0.107
Tc1 0.000 0.500 0.250
Te1 0.000 0.000 0.500

---

17.
Material: SrTc2Te
Method: DFT, PBE-GGA
State: optimized geometry

Computed properties:
Uncorrected formation energy (eV per atom): 0.240

Lattice parameters (Å, degrees): 3.272 3.975 7.340 90.00 101.27 90.00
Space group Pm (No. 6)
Symmetry-distinct sites (fractional):
Sr1 0.000 0.000 0.000
Tc1 0.433 0.000 0.424
Tc2 0.777 0.500 0.332
Te1 0.372 0.500 0.680

---

18.
Material: SrTc2Te
Method: DFT, PBE-GGA
State: optimized geometry

Computed properties:
Uncorrected formation energy (eV per atom): 0.632

Lattice parameters (Å, degrees): 3.398 3.398 7.299 90.00 90.00 90.00
Space group P4/mmm (No. 123)
Symmetry-distinct sites (fractional):
Sr1 0.000 0.000 0.000
Tc1 0.500 0.500 0.309
Te1 0.000 0.000 0.500

---

19.
Material: Sr2TcTe4
Method: DFT, PBE-GGA
State: optimized geometry

Computed properties:
Uncorrected formation energy (eV per atom): -0.667

Lattice parameters (Å, degrees): 5.382 5.382 16.624 90.00 90.00 90.00
Space group I4/mmm (No. 139)
Symmetry-distinct sites (fractional):
Sr1 0.000 0.000 0.136
Tc1 0.000 0.000 0.500
Te1 0.000 0.000 0.332
Te2 0.000 0.500 0.000

---

20.
Material: Sr4TcTe
Method: DFT, PBE-GGA
State: optimized geometry

Computed properties:
Uncorrected formation energy (eV per atom): 0.761

Lattice parameters (Å, degrees): 9.822 9.822 9.822 90.00 90.00 90.00
Space group F-43m (No. 216)
Symmetry-distinct sites (fractional):
Sr1 0.124 0.124 0.124
Tc1 0.250 0.250 0.750
Te1 0.000 0.000 0.500